# Y2ScVCd

A geometry-optimized Y2ScVCd structure (PBE, Alexandria via LeMat-Bulk).

Lattice parameters (Å, degrees): 5.5811 5.5811 5.0686 90.00 90.00 90.00
Closest atoms and distances in Å follow each position.
Fractional coordinates of all 5 atoms:
Y (0.0000, 0.5000, 0.0000)  2 Cd 2.79
Y (0.5000, 0.0000, 0.0000)  2 Cd 2.79
Sc (0.0000, 0.0000, 0.5000)  8 Y 3.77, 4 V 3.95
V (0.5000, 0.5000, 0.5000)  2 Cd 2.53
Cd (0.5000, 0.5000, 0.0000)  2 V 2.53, 4 Y 2.79

Calculated values
The calculation puts the formation energy at 0.806 eV per atom.

# NdY2Ho

A geometry-optimized NdY2Ho structure (PBE, Alexandria via LeMat-Bulk).

Lattice parameters (Å, degrees): 4.1832 4.1832 7.5478 90.00 90.00 90.00
Closest atoms and distances in Å follow each position.
Fractional coordinates of all 4 atoms:
Nd (0.0000, 0.0000, 0.0000)  8 Y 3.53, 2 Ho 3.77
Y (0.5000, 0.5000, 0.2561)  4 Ho 3.48, 4 Nd 3.53, 2 Y 3.68-3.87
Y (0.5000, 0.5000, 0.7439)  4 Ho 3.48, 4 Nd 3.53, 2 Y 3.68-3.87
Ho (0.0000, 0.0000, 0.5000)  8 Y 3.48, 2 Nd 3.77

Calculated values
Its energy above the most stable polymorph in this dataset is 107.0 meV per atom. The calculation puts the formation energy at 0.113 eV per atom.

# Ho2UGa9

A geometry-optimized Ho2UGa9 structure (PBE, Alexandria via LeMat-Bulk).

Lattice parameters (Å, degrees): 4.2443 4.2443 12.8383 90.00 90.00 90.00
Closest atoms and distances in Å follow each position.
Fractional coordinates of all 12 atoms:
Ho (0.0000, 0.0000, 0.1663)  12 Ga 3.00-3.02
Ho (0.0000, 0.0000, 0.8337)  12 Ga 3.00-3.02
U (0.0000, 0.0000, 0.5000)  12 Ga 3.00-3.01
Ga (0.0000, 0.5000, 0.0000)  8 Ga 3.00-3.02, 4 Ho 3.01
Ga (0.0000, 0.5000, 0.3342)  8 Ga 3.00-3.02, 2 U 3.01, 2 Ho 3.02
Ga (0.0000, 0.5000, 0.6658)  8 Ga 3.00-3.02, 2 U 3.01, 2 Ho 3.02
Ga (0.5000, 0.0000, 0.0000)  8 Ga 3.00-3.02, 4 Ho 3.01
Ga (0.5000, 0.0000, 0.3342)  8 Ga 3.00-3.02, 2 U 3.01, 2 Ho 3.02
Ga (0.5000, 0.0000, 0.6658)  8 Ga 3.00-3.02, 2 U 3.01, 2 Ho 3.02
Ga (0.5000, 0.5000, 0.1672)  4 Ho 3.00, 8 Ga 3.02
Ga (0.5000, 0.5000, 0.5000)  4 U 3.00, 8 Ga 3.01
Ga (0.5000, 0.5000, 0.8328)  4 Ho 3.00, 8 Ga 3.02

Calculated values
The calculation puts the formation energy at -0.437 eV per atom.

# PrPdBr

A geometry-optimized PrPdBr structure (PBE, Alexandria via LeMat-Bulk).

Lattice parameters (Å, degrees): 11.4191 11.4191 11.4191 22.14 22.14 22.14
Closest atoms and distances in Å follow each position.
Fractional coordinates of all 6 atoms:
Pr (0.0589, 0.0589, 0.0589)  3 Pd 2.99, 3 Br 3.13
Pr (0.9411, 0.9411, 0.9411)  3 Pd 2.99, 3 Br 3.13
Pd (0.3447, 0.3447, 0.3447)  3 Pd 2.64
Pd (0.6553, 0.6553, 0.6553)  3 Pd 2.64
Br (0.2194, 0.2194, 0.2194)  3 Pr 3.13
Br (0.7806, 0.7806, 0.7806)  3 Pr 3.13

Calculated values
The value obtained for the uncorrected formation energy is -119 kJ/mol of atoms.

| no. | total energy (eV for the cell shown) |
| --- | --- |
| 1 | -25.27 |
| 2 | -21.82 |
| 3 | -52.93 |
| 4 | -30.68 |